Entry 1:
Computed, not measured: Tb2Nd7Tm3 after structural relaxation at the PBE level of DFT.

abc: 3.6272 5.8672 19.0343
angles: 94.01 90.00 90.00
Sites, in units of the cell vectors:
Tb  0.5000  0.7038  0.2984
Tb  0.5000  0.2962  0.7016
Nd  0.5000  0.7415  0.4654
Nd  0.5000  0.2585  0.5346
Nd  0.0000  0.6706  0.1449
Nd  0.0000  0.0000  0.0000
Nd  0.0000  0.3294  0.8551
Nd  0.5000  0.8259  0.8164
Nd  0.5000  0.1741  0.1836
Tm  0.5000  0.5000  0.0000
Tm  0.0000  0.2161  0.3681
Tm  0.0000  0.7839  0.6319

ρ in Mg/m³: 7.54
Fermi-level density of states in states/eV per cell: 16.55
Space-group type: No. 10
Energy relative to the elements in eV/atom: 0.0910

***

Entry 2:
Computed, not measured: TbNd2Tm9 after structural relaxation at the PBE level of DFT.

abc: 4.9865 4.9865 14.9554
angles: 90.00 90.00 90.00
Sites, in units of the cell vectors:
Tb  0.0000  0.0000  0.0000
Nd  0.0000  0.0000  0.3330
Nd  0.0000  0.0000  0.6670
Tm  0.5000  0.5000  0.0000
Tm  0.5000  0.5000  0.3321
Tm  0.5000  0.5000  0.6679
Tm  0.5000  0.0000  0.1648
Tm  0.5000  0.0000  0.5000
Tm  0.5000  0.0000  0.8352
Tm  0.0000  0.5000  0.1648
Tm  0.0000  0.5000  0.5000
Tm  0.0000  0.5000  0.8352

ρ in Mg/m³: 8.79
Fermi-level density of states in states/eV per cell: 17.05
Space-group type: No. 123
Energy relative to the elements in eV/atom: 0.0278

***

Entry 3:
Computed, not measured: TbNd6Tm2 after structural relaxation at the PBE level of DFT.

abc: 5.7387 12.0684 12.0684
angles: 48.38 103.74 103.74
Sites, in units of the cell vectors:
Tb  0.2500  0.2511  0.7489
Tb  0.7500  0.7489  0.2511
Nd  0.8324  0.5006  0.6695
Nd  0.6676  0.3305  0.4994
Nd  0.1676  0.4994  0.3305
Nd  0.3324  0.6695  0.5006
Nd  0.9197  0.9188  0.4207
Nd  0.5803  0.5793  0.0812
Nd  0.0803  0.0812  0.5793
Nd  0.4197  0.4207  0.9188
Nd  0.1623  0.8335  0.9968
Nd  0.3377  0.0032  0.1665
Nd  0.8377  0.1665  0.0032
Nd  0.6623  0.9968  0.8335
Tm  0.0021  0.6672  0.8335
Tm  0.4979  0.1665  0.3328
Tm  0.9979  0.3328  0.1665
Tm  0.5021  0.8335  0.6672

ρ in Mg/m³: 7.50
Fermi-level density of states in states/eV per cell: 25.60
Space-group type: No. 15
Energy relative to the elements in eV/atom: 0.0577

***

Entry 4:
Computed, not measured: Tb2Nd5Tm2 after structural relaxation at the PBE level of DFT.

abc: 8.0844 9.5625 9.5428
angles: 129.96 53.79 147.71
Sites, in units of the cell vectors:
Tb  0.4440  0.8912  0.7822
Tb  0.5560  0.1088  0.2178
Nd  0.3355  0.6666  0.3322
Nd  0.6645  0.3334  0.6678
Nd  0.1129  0.2223  0.4450
Nd  0.8871  0.7777  0.5550
Nd  0.0000  0.0000  0.0000
Tm  0.2171  0.4454  0.8909
Tm  0.7829  0.5546  0.1091

ρ in Mg/m³: 7.62
Fermi-level density of states in states/eV per cell: 12.69
Space-group type: No. 12
Energy relative to the elements in eV/atom: 0.0178

***

Number 1: relative energy among the computed polymorphs 2.1 kJ per mole of atoms, calculated total energy -4.58 eV per atom, magnetization 0.00 Bohr magnetons per cell. Number 2: relative energy among the computed polymorphs 0.0 kJ per mole of atoms, calculated total energy -4.51 eV per atom, magnetization 0.00 Bohr magnetons per cell. Number 3: relative energy among the computed polymorphs 0.0 kJ per mole of atoms, calculated total energy -4.63 eV per atom, magnetization 0.00 Bohr magnetons per cell. Number 4: relative energy among the computed polymorphs 0.0 kJ per mole of atoms, calculated total energy -4.65 eV per atom, magnetization 0.00 Bohr magnetons per cell.